# 1
This record from Alexandria via LeMat-Bulk describes MgCuAs after structural relaxation. The functional is GGA-PBE. Values from VASP.

DFT formation energy	-0.050	eV/atom
space group	P4/nmm (129)
final energy	-3.50	eV per atom

Geometry as Quantum ESPRESSO input:
```
&SYSTEM
  ibrav = 0, nat = 6, ntyp = 3
/
ATOMIC_SPECIES
As 74.92 As.upf
Mg 24.30 Mg.upf
Cu 63.55 Cu.upf
CELL_PARAMETERS angstrom
-3.1844 1.3252 -2.2016
1.2896 -2.2081 -3.1945
-3.3954 -4.8577 1.9871
ATOMIC_POSITIONS crystal
As 0.0000 0.5000 0.2079
As 0.5000 0.0000 0.7921
Mg 0.0000 0.0000 0.5000
Mg 0.5000 0.5000 0.5000
Cu 0.0000 0.5000 0.8172
Cu 0.5000 0.0000 0.1828
```



# 2
This record from Alexandria via LeMat-Bulk describes MgCuAs after structural relaxation. The functional is GGA-PBE. Values from VASP.

DFT formation energy	-0.245	eV/atom
space group	Cm (8)
final energy	-3.69	eV per atom

Geometry as Quantum ESPRESSO input:
```
&SYSTEM
  ibrav = 0, nat = 6, ntyp = 3
/
ATOMIC_SPECIES
Mg 24.30 Mg.upf
As 74.92 As.upf
Cu 63.55 Cu.upf
CELL_PARAMETERS angstrom
-0.9403 4.0774 0.1117
-1.1797 1.9904 -7.1949
-3.8240 1.1627 0.9476
ATOMIC_POSITIONS crystal
Mg 0.9571 0.8973 0.4301
Mg 0.1908 0.5093 0.3140
As 0.6823 0.2769 0.5678
As 0.7218 0.7274 0.0481
Cu 0.0714 0.2125 0.8731
Cu 0.5030 0.0815 0.1568
```



# 3
This record from Alexandria via LeMat-Bulk describes MgCu2As after structural relaxation. The functional is GGA-PBE. Values from VASP.

DFT formation energy	-0.074	eV/atom
space group	I4/mmm (139)
final energy	-3.68	eV per atom

Geometry as Quantum ESPRESSO input:
```
&SYSTEM
  ibrav = 0, nat = 4, ntyp = 3
/
ATOMIC_SPECIES
As 74.92 As.upf
Cu 63.55 Cu.upf
Mg 24.30 Mg.upf
CELL_PARAMETERS angstrom
-0.7241 -1.6775 -4.5231
2.0456 -4.3769 -0.6749
-2.9693 1.8237 3.4139
ATOMIC_POSITIONS crystal
As 0.2500 0.7500 0.5000
Cu 0.0000 0.0000 0.0000
Cu 0.5000 0.5000 0.0000
Mg 0.7500 0.2500 0.5000
```